A relaxed structure of MgCoTc2, computed with GGA-PBE.

a = 3.632 Å, b = 3.632 Å, c = 4.286 Å
α = 90.00°, β = 90.00°, γ = 90.00°
Space group P4/mmm (No. 123)
Asymmetric unit:
Mg 0.000 0.000 0.000 [1 per cell]
Co 0.500 0.500 0.000 [1 per cell]
Tc 0.000 0.500 0.500 [2 per cell]

Calculated values
The value obtained for the density of states at the Fermi level is 5.34 states/eV/f.u. For the formation energy, the calculation gives 0.277 eV per atom. The value obtained for the magnetic moment is 0.8 μB per cell.